A relaxed KLiTi2Ir crystal, computed with PBE.

It has space group P4/mmm (No. 123), with a = 4.538 Å, b = 4.538 Å, c = 4.785 Å, α = 90.00°, β = 90.00° and γ = 90.00°. The inequivalent atoms are K at (0.000, 0.000, 0.000), Li at (0.500, 0.500, 0.500), Ti at (0.000, 0.500, 0.000) and Ir at (0.000, 0.000, 0.500).

For the spin magnetization, the calculation gives 0.49 Bohr magnetons per cell. The value obtained for the calculated volume is 98.56 Å³/cell. The formation energy is 2.06 eV/atom.